LiMnPO4 | Alexandria | GGA+U | optimized geometry; relative energy among the computed polymorphs = 0.0421 eV/atom
1.0
-3.380 3.191 2.331
-7.868 -2.743 -7.654
-2.599 -6.373 4.956
O P Mn Li
16 4 4 4
direct
0.828 0.325 0.381 O
0.917 0.191 0.041 O
0.417 0.309 0.541 O
0.418 0.809 0.959 O
0.409 0.263 0.248 O
0.909 0.237 0.748 O
0.959 0.027 0.839 O
0.828 0.825 0.119 O
0.918 0.691 0.459 O
0.458 0.973 0.160 O
0.328 0.675 0.619 O
0.909 0.737 0.752 O
0.958 0.527 0.661 O
0.458 0.473 0.339 O
0.409 0.763 0.252 O
0.328 0.175 0.881 O
0.531 0.844 0.124 P
0.031 0.156 0.876 P
0.031 0.656 0.624 P
0.531 0.344 0.376 P
0.539 0.139 0.088 Mn
0.539 0.639 0.412 Mn
0.039 0.861 0.912 Mn
0.039 0.361 0.588 Mn
0.548 0.716 0.791 Li
0.548 0.217 0.709 Li
0.048 0.783 0.290 Li
0.048 0.283 0.210 Li